K10Rb6Tl | PBE | optimized geometry

abc: 13.0957 13.0957 8.6468
angles: 90.00 90.00 120.00
Last column: nearest neighbours and their distance in Å.
Positions (direct):
K 0.0000 0.2227 0.2510  1 Tl 3.63
K 0.0000 0.7773 0.7490  1 Tl 3.63
K 0.2227 0.0000 0.2510  1 Tl 3.63
K 0.2227 0.2227 0.7490  1 Tl 3.63
K 0.3333 0.6667 0.0000  2 K 4.32, 6 Rb 4.55
K 0.3333 0.6667 0.5000  2 K 4.32, 6 Rb 4.59
K 0.6667 0.3333 0.0000  2 K 4.32, 6 Rb 4.55
K 0.6667 0.3333 0.5000  2 K 4.32, 6 Rb 4.59
K 0.7773 0.0000 0.7490  1 Tl 3.63
K 0.7773 0.7773 0.2510  1 Tl 3.63
Rb 0.0000 0.3939 0.7551  8 K 4.48-4.90
Rb 0.0000 0.6061 0.2449  8 K 4.48-4.90
Rb 0.3939 0.0000 0.7551  8 K 4.48-4.90
Rb 0.3939 0.3939 0.2449  8 K 4.48-4.90
Rb 0.6061 0.0000 0.2449  8 K 4.48-4.90
Rb 0.6061 0.6061 0.7551  8 K 4.48-4.90
Tl 0.0000 0.0000 0.0000  6 K 3.63

Computed properties:
Its density of states at the Fermi level is 0.7753 states/eV per atom. As for the space group: P-31m. As for the crystal system: trigonal. The formation enthalpy at 0 K is 0.028 eV/atom.